--- i ---
# Ac4Hg2Pt | Alexandria via LeMat-Bulk | PBE-GGA | optimized geometry
# V = 275.9 Å³/f.u.
data_Ac4Hg2Pt
_space_group_name_H-M_alt 'I 4/m m m'
_space_group_IT_number 139
_space_group_name_Hall '-I 4 2'
_cell_length_a 5.856
_cell_length_b 5.856
_cell_length_c 16.089
_cell_angle_alpha 90.00
_cell_angle_beta 90.00
_cell_angle_gamma 90.00
loop_
_atom_site_label
_atom_site_fract_x
_atom_site_fract_y
_atom_site_fract_z
Ac1 0.000 0.000 0.190
Ac2 0.000 0.500 0.000
Hg1 0.000 0.000 0.389
Pt1 0.000 0.000 0.000

=====

--- ii ---
# Ac4Hg2Pt | Alexandria via LeMat-Bulk | PBE-GGA | optimized geometry
# V = 252.6 Å³/f.u.
data_Ac4Hg2Pt
_space_group_name_H-M_alt 'C 1 2/m 1'
_space_group_IT_number 12
_space_group_name_Hall '-C 2y'
_cell_length_a 14.740
_cell_length_b 4.354
_cell_length_c 9.558
_cell_angle_alpha 90.00
_cell_angle_beta 124.54
_cell_angle_gamma 90.00
loop_
_atom_site_label
_atom_site_fract_x
_atom_site_fract_y
_atom_site_fract_z
Ac1 0.091 0.000 0.382
Ac2 0.165 0.500 0.083
Hg1 0.120 0.500 0.681
Pt1 0.000 0.000 0.000

=====

Of them, i has the lowest stability.

=====

--- i ---
# Ac2HgPt3 | Alexandria via LeMat-Bulk | PBE-GGA | optimized geometry
# V = 155.5 Å³/f.u.
data_Ac2HgPt3
_space_group_name_H-M_alt 'F m m m'
_space_group_IT_number 69
_space_group_name_Hall '-F 2 2'
_cell_length_a 8.117
_cell_length_b 9.834
_cell_length_c 15.585
_cell_angle_alpha 90.00
_cell_angle_beta 90.00
_cell_angle_gamma 90.00
loop_
_atom_site_label
_atom_site_fract_x
_atom_site_fract_y
_atom_site_fract_z
Ac1 0.241 0.000 0.000
Ac2 0.250 0.250 0.250
Hg1 0.000 0.000 0.333
Pt1 0.000 0.000 0.156
Pt2 0.000 0.248 0.087

=====

--- ii ---
# Ac2HgPt3 | Alexandria via LeMat-Bulk | PBE-GGA | optimized geometry
# V = 159.5 Å³/f.u.
data_Ac2HgPt3
_space_group_name_H-M_alt 'I m m 2'
_space_group_IT_number 44
_space_group_name_Hall 'I 2 -2'
_cell_length_a 4.217
_cell_length_b 4.288
_cell_length_c 17.641
_cell_angle_alpha 90.00
_cell_angle_beta 90.00
_cell_angle_gamma 90.00
loop_
_atom_site_label
_atom_site_fract_x
_atom_site_fract_y
_atom_site_fract_z
Ac1 0.000 0.000 0.000
Ac2 0.000 0.500 0.223
Hg1 0.000 0.000 0.394
Pt1 0.000 0.000 0.552
Pt2 0.000 0.500 0.644
Pt3 0.000 0.500 0.793

=====

Of them, i has the lowest stability.

=====

--- i ---
# SrAcHgPt | Alexandria via LeMat-Bulk | PBE-GGA | optimized geometry
# V = 115.4 Å³/f.u.
data_SrAcHgPt
_space_group_name_H-M_alt 'F -4 3 m'
_space_group_IT_number 216
_space_group_name_Hall 'F -4 2 3'
_cell_length_a 7.729
_cell_length_b 7.729
_cell_length_c 7.729
_cell_angle_alpha 90.00
_cell_angle_beta 90.00
_cell_angle_gamma 90.00
loop_
_atom_site_label
_atom_site_fract_x
_atom_site_fract_y
_atom_site_fract_z
Sr1 0.000 0.000 0.000
Ac1 0.000 0.000 0.500
Hg1 0.250 0.250 0.750
Pt1 0.250 0.250 0.250

=====

--- ii ---
# SrAcHgPt | Alexandria via LeMat-Bulk | PBE-GGA | optimized geometry
# V = 122.9 Å³/f.u.
data_SrAcHgPt
_space_group_name_H-M_alt 'A m m 2'
_space_group_IT_number 38
_space_group_name_Hall 'A 2 -2'
_cell_length_a 4.419
_cell_length_b 4.353
_cell_length_c 12.776
_cell_angle_alpha 90.00
_cell_angle_beta 90.00
_cell_angle_gamma 90.00
loop_
_atom_site_label
_atom_site_fract_x
_atom_site_fract_y
_atom_site_fract_z
Sr1 0.000 0.000 0.000
Ac1 0.500 0.000 0.714
Hg1 0.500 0.000 0.422
Pt1 0.000 0.000 0.251

=====

Of them, i has the lowest stability.

=====

--- i ---
# AcPuHg4 | Alexandria via LeMat-Bulk | PBE-GGA | optimized geometry
# V = 168.9 Å³/f.u.
data_AcPuHg4
_space_group_name_H-M_alt 'P -1'
_space_group_IT_number 2
_space_group_name_Hall '-P 1'
_cell_length_a 4.058
_cell_length_b 5.847
_cell_length_c 8.127
_cell_angle_alpha 109.74
_cell_angle_beta 90.01
_cell_angle_gamma 110.12
loop_
_atom_site_label
_atom_site_fract_x
_atom_site_fract_y
_atom_site_fract_z
Ac1 0.000 0.000 0.000
Pu1 0.000 0.000 0.500
Hg1 0.328 0.654 0.652
Hg2 0.332 0.662 0.180

=====

--- ii ---
# AcPuHg4 | Alexandria via LeMat-Bulk | PBE-GGA | optimized geometry
# V = 163.6 Å³/f.u.
data_AcPuHg4
_space_group_name_H-M_alt 'F -4 3 m'
_space_group_IT_number 216
_space_group_name_Hall 'F -4 2 3'
_cell_length_a 8.682
_cell_length_b 8.682
_cell_length_c 8.682
_cell_angle_alpha 90.00
_cell_angle_beta 90.00
_cell_angle_gamma 90.00
loop_
_atom_site_label
_atom_site_fract_x
_atom_site_fract_y
_atom_site_fract_z
Ac1 0.000 0.000 0.000
Pu1 0.250 0.250 0.750
Hg1 0.125 0.125 0.375

=====

--- iii ---
# AcPuHg4 | Alexandria via LeMat-Bulk | PBE-GGA | optimized geometry
# V = 162.5 Å³/f.u.
data_AcPuHg4
_space_group_name_H-M_alt 'P m m m'
_space_group_IT_number 47
_space_group_name_Hall '-P 2 2'
_cell_length_a 3.557
_cell_length_b 5.136
_cell_length_c 8.895
_cell_angle_alpha 90.00
_cell_angle_beta 90.00
_cell_angle_gamma 90.00
loop_
_atom_site_label
_atom_site_fract_x
_atom_site_fract_y
_atom_site_fract_z
Ac1 0.000 0.000 0.000
Pu1 0.000 0.500 0.500
Hg1 0.500 0.000 0.339
Hg2 0.500 0.500 0.174

=====

Of them, ii has the lowest stability.

=====

--- i ---
# AcPuHg | Alexandria via LeMat-Bulk | PBE-GGA | optimized geometry
# V = 87.2 Å³/f.u.
data_AcPuHg
_space_group_name_H-M_alt 'P 1 21/m 1'
_space_group_IT_number 11
_space_group_name_Hall '-P 2yb'
_cell_length_a 5.161
_cell_length_b 3.635
_cell_length_c 9.377
_cell_angle_alpha 90.00
_cell_angle_beta 97.82
_cell_angle_gamma 90.00
loop_
_atom_site_label
_atom_site_fract_x
_atom_site_fract_y
_atom_site_fract_z
Ac1 0.220 0.250 0.361
Pu1 0.139 0.750 0.020
Hg1 0.319 0.250 0.768

=====

--- ii ---
# AcPuHg | Alexandria via LeMat-Bulk | PBE-GGA | optimized geometry
# V = 96.0 Å³/f.u.
data_AcPuHg
_space_group_name_H-M_alt 'P -6 m 2'
_space_group_IT_number 187
_space_group_name_Hall 'P -6 2'
_cell_length_a 5.4506
_cell_length_b 5.4506
_cell_length_c 3.7326
_cell_angle_alpha 90.00
_cell_angle_beta 90.00
_cell_angle_gamma 120.00
loop_
_atom_site_label
_atom_site_fract_x
_atom_site_fract_y
_atom_site_fract_z
Ac1 0.0000 0.0000 0.0000
Pu1 0.3333 0.6667 0.5000
Hg1 0.6667 0.3333 0.5000

=====

--- iii ---
# AcPuHg | Alexandria via LeMat-Bulk | PBE-GGA | optimized geometry
# V = 97.4 Å³/f.u.
data_AcPuHg
_space_group_name_H-M_alt 'I 4 m m'
_space_group_IT_number 107
_space_group_name_Hall 'I 4 -2'
_cell_length_a 3.857
_cell_length_b 3.857
_cell_length_c 13.096
_cell_angle_alpha 90.00
_cell_angle_beta 90.00
_cell_angle_gamma 90.00
loop_
_atom_site_label
_atom_site_fract_x
_atom_site_fract_y
_atom_site_fract_z
Ac1 0.000 0.000 0.000
Pu1 0.000 0.000 0.301
Hg1 0.000 0.000 0.667

=====

Of them, i has the lowest stability.

=====

--- i ---
# RbAcHg4 | Alexandria via LeMat-Bulk | PBE-GGA | optimized geometry
# V = 187.9 Å³/f.u.
data_RbAcHg4
_space_group_name_H-M_alt 'P m m m'
_space_group_IT_number 47
_space_group_name_Hall '-P 2 2'
_cell_length_a 3.818
_cell_length_b 5.331
_cell_length_c 9.233
_cell_angle_alpha 90.00
_cell_angle_beta 90.00
_cell_angle_gamma 90.00
loop_
_atom_site_label
_atom_site_fract_x
_atom_site_fract_y
_atom_site_fract_z
Rb1 0.000 0.000 0.000
Ac1 0.000 0.500 0.500
Hg1 0.500 0.000 0.339
Hg2 0.500 0.500 0.169

=====

--- ii ---
# RbAcHg4 | Alexandria via LeMat-Bulk | PBE-GGA | optimized geometry
# V = 182.6 Å³/f.u.
data_RbAcHg4
_space_group_name_H-M_alt 'F -4 3 m'
_space_group_IT_number 216
_space_group_name_Hall 'F -4 2 3'
_cell_length_a 9.006
_cell_length_b 9.006
_cell_length_c 9.006
_cell_angle_alpha 90.00
_cell_angle_beta 90.00
_cell_angle_gamma 90.00
loop_
_atom_site_label
_atom_site_fract_x
_atom_site_fract_y
_atom_site_fract_z
Rb1 0.000 0.000 0.000
Ac1 0.250 0.250 0.750
Hg1 0.125 0.125 0.375

=====

Of them, ii has the lowest stability.

=====

--- i ---
# Ac6HgRh2 | Alexandria via LeMat-Bulk | PBE-GGA | optimized geometry
# V = 306.9 Å³/f.u.
data_Ac6HgRh2
_space_group_name_H-M_alt 'I m m m'
_space_group_IT_number 71
_space_group_name_Hall '-I 2 2'
_cell_length_a 10.116
_cell_length_b 10.783
_cell_length_c 11.256
_cell_angle_alpha 90.00
_cell_angle_beta 90.00
_cell_angle_gamma 90.00
loop_
_atom_site_label
_atom_site_fract_x
_atom_site_fract_y
_atom_site_fract_z
Ac1 0.000 0.198 0.226
Ac2 0.190 0.500 0.167
Ac3 0.203 0.325 0.500
Hg1 0.000 0.000 0.000
Hg2 0.000 0.000 0.500
Rh1 0.000 0.339 0.000
Rh2 0.000 0.500 0.365

=====

--- ii ---
# Ac6HgRh2 | Alexandria via LeMat-Bulk | PBE-GGA | optimized geometry
# V = 324.4 Å³/f.u.
data_Ac6HgRh2
_space_group_name_H-M_alt 'C 1 2/m 1'
_space_group_IT_number 12
_space_group_name_Hall '-C 2y'
_cell_length_a 16.217
_cell_length_b 4.097
_cell_length_c 10.144
_cell_angle_alpha 90.00
_cell_angle_beta 105.70
_cell_angle_gamma 90.00
loop_
_atom_site_label
_atom_site_fract_x
_atom_site_fract_y
_atom_site_fract_z
Ac1 0.039 0.000 0.347
Ac2 0.142 0.500 0.920
Ac3 0.236 0.000 0.661
Hg1 0.000 0.000 0.000
Rh1 0.095 0.500 0.605

=====

Of them, ii has the lowest stability.

=====

--- i ---
# Ac2HgRh3 | Alexandria via LeMat-Bulk | PBE-GGA | optimized geometry
# V = 150.5 Å³/f.u.
data_Ac2HgRh3
_space_group_name_H-M_alt 'F m m m'
_space_group_IT_number 69
_space_group_name_Hall '-F 2 2'
_cell_length_a 8.490
_cell_length_b 9.007
_cell_length_c 15.749
_cell_angle_alpha 90.00
_cell_angle_beta 90.00
_cell_angle_gamma 90.00
loop_
_atom_site_label
_atom_site_fract_x
_atom_site_fract_y
_atom_site_fract_z
Ac1 0.245 0.000 0.000
Ac2 0.250 0.250 0.250
Hg1 0.000 0.000 0.336
Rh1 0.000 0.000 0.166
Rh2 0.000 0.240 0.081

=====

--- ii ---
# Ac2HgRh3 | Alexandria via LeMat-Bulk | PBE-GGA | optimized geometry
# V = 139.9 Å³/f.u.
data_Ac2HgRh3
_space_group_name_H-M_alt 'P n m a'
_space_group_IT_number 62
_space_group_name_Hall '-P 2ac 2n'
_cell_length_a 7.687
_cell_length_b 4.276
_cell_length_c 17.029
_cell_angle_alpha 90.00
_cell_angle_beta 90.00
_cell_angle_gamma 90.00
loop_
_atom_site_label
_atom_site_fract_x
_atom_site_fract_y
_atom_site_fract_z
Ac1 0.033 0.250 0.223
Ac2 0.158 0.250 0.439
Hg1 0.004 0.750 0.067
Rh1 0.112 0.250 0.644
Rh2 0.240 0.750 0.581
Rh3 0.242 0.750 0.303

=====

Of them, i has the lowest stability.

=====

--- i ---
# Ac4HgRh2 | Alexandria via LeMat-Bulk | PBE-GGA | optimized geometry
# V = 244.6 Å³/f.u.
data_Ac4HgRh2
_space_group_name_H-M_alt 'I m m a'
_space_group_IT_number 74
_space_group_name_Hall '-I 2b 2'
_cell_length_a 9.875
_cell_length_b 9.889
_cell_length_c 10.020
_cell_angle_alpha 90.00
_cell_angle_beta 90.00
_cell_angle_gamma 90.00
loop_
_atom_site_label
_atom_site_fract_x
_atom_site_fract_y
_atom_site_fract_z
Ac1 0.000 0.063 0.217
Ac2 0.187 0.250 0.533
Hg1 0.000 0.250 0.874
Rh1 0.000 0.000 0.500
Rh2 0.250 0.250 0.250

=====

--- ii ---
# Ac4HgRh2 | Alexandria via LeMat-Bulk | PBE-GGA | optimized geometry
# V = 235.1 Å³/f.u.
data_Ac4HgRh2
_space_group_name_H-M_alt 'C m c m'
_space_group_IT_number 63
_space_group_name_Hall '-C 2c 2'
_cell_length_a 4.336
_cell_length_b 14.613
_cell_length_c 14.839
_cell_angle_alpha 90.00
_cell_angle_beta 90.00
_cell_angle_gamma 90.00
loop_
_atom_site_label
_atom_site_fract_x
_atom_site_fract_y
_atom_site_fract_z
Ac1 0.000 0.000 0.000
Ac2 0.000 0.268 0.112
Ac3 0.000 0.436 0.750
Hg1 0.000 0.112 0.750
Rh1 0.000 0.368 0.563

=====

Of them, i has the lowest stability.

=====

--- i ---
# Ac3Hg2Rh3 | Alexandria via LeMat-Bulk | PBE-GGA | optimized geometry
# V = 205.7 Å³/f.u.
data_Ac3Hg2Rh3
_space_group_name_H-M_alt 'P 63/m c m'
_space_group_IT_number 193
_space_group_name_Hall '-P 6c 2'
_cell_length_a 8.7832
_cell_length_b 8.7832
_cell_length_c 6.1564
_cell_angle_alpha 90.00
_cell_angle_beta 90.00
_cell_angle_gamma 120.00
loop_
_atom_site_label
_atom_site_fract_x
_atom_site_fract_y
_atom_site_fract_z
Ac1 0.0000 0.2853 0.2500
Hg1 0.3333 0.6667 0.0000
Rh1 0.0000 0.3812 0.7500

=====

--- ii ---
# Ac3Hg2Rh3 | Alexandria via LeMat-Bulk | PBE-GGA | optimized geometry
# V = 207.5 Å³/f.u.
data_Ac3Hg2Rh3
_space_group_name_H-M_alt 'C m c m'
_space_group_IT_number 63
_space_group_name_Hall '-C 2c 2'
_cell_length_a 4.204
_cell_length_b 13.082
_cell_length_c 15.093
_cell_angle_alpha 90.00
_cell_angle_beta 90.00
_cell_angle_gamma 90.00
loop_
_atom_site_label
_atom_site_fract_x
_atom_site_fract_y
_atom_site_fract_z
Ac1 0.000 0.065 0.113
Ac2 0.000 0.333 0.250
Hg1 0.000 0.228 0.578
Rh1 0.000 0.337 0.750
Rh2 0.000 0.411 0.046

=====

Of them, i has the lowest stability.